(1)
{"formula": "KCrFe2", "functional": "SCAN", "state": "single point on PBEsol structure", "lattice": [[-0.958, 0.968, 2.416], [3.777, -1.953, 0.687], [2.567, 6.147, -1.446]], "species": ["K", "Fe", "Fe", "Cr"], "fractional_positions": [[0.000, 0.000, 0.500], [0.778, 0.556, 0.881], [0.222, 0.444, 0.119], [0.500, 0.000, 0.000]], "polymorph_energy_kcal_per_mol_atoms": 0.74, "formation_enthalpy_0k_ev_per_atom": 0.769, "e_tot_ev_per_atom": -14.974, "vol_a3_per_atom": 19.14}

=====

(2)
{"formula": "KCrFe2", "functional": "SCAN", "state": "single point on PBEsol structure", "lattice": [[2.819, 0.000, 0.000], [0.000, 2.819, 0.000], [0.000, 0.000, 8.339]], "species": ["Fe", "K", "Fe", "Cr"], "fractional_positions": [[0.000, 0.000, 0.003], [0.000, 0.000, 0.496], [0.500, 0.500, 0.162], [0.500, 0.500, 0.840]], "polymorph_energy_kcal_per_mol_atoms": 1.40, "formation_enthalpy_0k_ev_per_atom": 0.797, "e_tot_ev_per_atom": -14.946, "vol_a3_per_atom": 16.57}

=====

(3)
{"formula": "KCrFe2", "functional": "SCAN", "state": "single point on PBEsol structure", "lattice": [[2.771, 0.000, 0.000], [0.000, 3.229, 0.000], [0.000, 0.000, 7.658]], "species": ["Fe", "K", "Fe", "Cr"], "fractional_positions": [[0.000, 0.000, 0.647], [0.500, 0.500, 0.000], [0.000, 0.000, 0.353], [0.500, 0.500, 0.500]], "polymorph_energy_kcal_per_mol_atoms": 0.00, "formation_enthalpy_0k_ev_per_atom": 0.737, "e_tot_ev_per_atom": -15.007, "vol_a3_per_atom": 17.13}

=====

(4)
{"formula": "KCrFe2", "functional": "SCAN", "state": "single point on PBEsol structure", "lattice": [[2.707, 0.000, 0.000], [0.000, 4.798, 0.000], [0.000, 0.000, 4.798]], "species": ["K", "Cr", "Fe", "Fe"], "fractional_positions": [[0.500, 0.500, 0.500], [0.500, 0.000, 0.000], [0.000, 0.500, 0.000], [0.000, 0.000, 0.500]], "polymorph_energy_kcal_per_mol_atoms": 10.30, "formation_enthalpy_0k_ev_per_atom": 1.183, "e_tot_ev_per_atom": -14.560, "vol_a3_per_atom": 15.58}